Model 1:
Computed, not measured: an optimized crystal structure of SmErPdAu at the PBE level of DFT. Values from VASP.

Results
The crystal system is cubic. Its space group is No. 216.

Geometry as Quantum ESPRESSO input:
```
&SYSTEM
  ibrav = 0, nat = 4, ntyp = 4
/
ATOMIC_SPECIES
Sm 150.36 Sm.upf
Er 167.26 Er.upf
Pd 106.42 Pd.upf
Au 196.97 Au.upf
CELL_PARAMETERS angstrom
0.000 3.579 3.579
3.579 0.000 3.579
3.579 3.579 0.000
ATOMIC_POSITIONS crystal
Sm 0.000 0.000 0.000
Er 0.500 0.500 0.500
Pd 0.750 0.750 0.750
Au 0.250 0.250 0.250
```

Model 2:
Computed, not measured: an optimized crystal structure of SmErPdAu at the PBE level of DFT. Values from VASP.

Results
The crystal system is orthorhombic. Its space group is No. 38.

Geometry as Quantum ESPRESSO input:
```
&SYSTEM
  ibrav = 0, nat = 4, ntyp = 4
/
ATOMIC_SPECIES
Sm 150.36 Sm.upf
Er 167.26 Er.upf
Pd 106.42 Pd.upf
Au 196.97 Au.upf
CELL_PARAMETERS angstrom
4.712 0.000 0.000
0.000 1.888 5.337
0.000 -1.888 5.337
ATOMIC_POSITIONS crystal
Sm 0.000 0.000 0.000
Er 0.500 0.724 0.724
Pd 0.000 0.273 0.273
Au 0.500 0.444 0.444
```

Which structure is the most stable? The one labeled model 2.

Model 1:
Computed, not measured: an optimized crystal structure of Pm3ErAu2 at the PBE level of DFT. Values from VASP.

Results
The crystal system is orthorhombic. Its space group is No. 26.

Geometry as Quantum ESPRESSO input:
```
&SYSTEM
  ibrav = 0, nat = 12, ntyp = 3
/
ATOMIC_SPECIES
Pm 145.00 Pm.upf
Er 167.26 Er.upf
Au 196.97 Au.upf
CELL_PARAMETERS angstrom
5.078 0.000 0.000
0.000 9.211 0.000
0.000 0.000 7.154
ATOMIC_POSITIONS crystal
Pm 0.000 0.075 0.000
Pm 0.000 0.336 0.356
Pm 0.000 0.664 0.856
Pm 0.000 0.925 0.500
Pm 0.500 0.166 0.660
Pm 0.500 0.834 0.160
Er 0.500 0.427 0.016
Er 0.500 0.573 0.516
Au 0.000 0.350 0.774
Au 0.000 0.650 0.274
Au 0.500 0.159 0.242
Au 0.500 0.841 0.742
```

Model 2:
Computed, not measured: an optimized crystal structure of Pm3ErAu2 at the PBE level of DFT. Values from VASP.

Results
The crystal system is orthorhombic. Its space group is No. 72.

Geometry as Quantum ESPRESSO input:
```
&SYSTEM
  ibrav = 0, nat = 12, ntyp = 3
/
ATOMIC_SPECIES
Pm 145.00 Pm.upf
Er 167.26 Er.upf
Au 196.97 Au.upf
CELL_PARAMETERS angstrom
-3.578 7.025 3.752
3.578 -7.025 3.752
3.578 7.025 -3.752
ATOMIC_POSITIONS crystal
Pm 0.020 0.750 0.270
Pm 0.250 0.250 0.000
Pm 0.480 0.750 0.730
Pm 0.520 0.250 0.270
Pm 0.750 0.750 0.000
Pm 0.980 0.250 0.730
Er 0.000 0.500 0.500
Er 0.500 0.000 0.500
Au 0.139 0.207 0.346
Au 0.361 0.707 0.067
Au 0.639 0.293 0.933
Au 0.861 0.793 0.654
```

Which structure is the most stable? The one labeled model 1.

Model 1:
Computed, not measured: an optimized crystal structure of Pm2ErAu2 at the PBE level of DFT. Values from VASP.

Results
The crystal system is orthorhombic. Its space group is No. 71.

Geometry as Quantum ESPRESSO input:
```
&SYSTEM
  ibrav = 0, nat = 5, ntyp = 3
/
ATOMIC_SPECIES
Pm 145.00 Pm.upf
Er 167.26 Er.upf
Au 196.97 Au.upf
CELL_PARAMETERS angstrom
-2.001 3.540 4.832
2.001 -3.540 4.832
2.001 3.540 -4.832
ATOMIC_POSITIONS crystal
Pm 0.198 0.198 0.000
Pm 0.802 0.802 0.000
Er 0.500 0.000 0.500
Au 0.209 0.500 0.709
Au 0.791 0.500 0.291
```

Model 2:
Computed, not measured: an optimized crystal structure of Pm2ErAu2 at the PBE level of DFT. Values from VASP.

Results
The crystal system is tetragonal. Its space group is No. 127.

Geometry as Quantum ESPRESSO input:
```
&SYSTEM
  ibrav = 0, nat = 10, ntyp = 3
/
ATOMIC_SPECIES
Pm 145.00 Pm.upf
Er 167.26 Er.upf
Au 196.97 Au.upf
CELL_PARAMETERS angstrom
7.499 0.000 0.000
0.000 7.499 0.000
0.000 0.000 4.778
ATOMIC_POSITIONS crystal
Pm 0.164 0.336 0.000
Pm 0.336 0.836 0.000
Pm 0.664 0.164 0.000
Pm 0.836 0.664 0.000
Er 0.000 0.000 0.500
Er 0.500 0.500 0.500
Au 0.137 0.637 0.500
Au 0.363 0.137 0.500
Au 0.637 0.863 0.500
Au 0.863 0.363 0.500
```

Which structure is the most stable? The one labeled model 2.